1.
A PBEsol-optimized structure of VZnSe2O7, computed with meta-GGA SCAN.

Cell and atoms, written as CIF:
```
data_VZnSe2O7
_chemical_formula_sum 'V4 Zn4 Se8 O28'
_space_group_name_H-M_alt 'P 1 21/c 1'
_space_group_IT_number 14
_space_group_name_Hall '-P 2ybc'
_cell_length_a 7.4300
_cell_length_b 12.4383
_cell_length_c 7.6930
_cell_angle_alpha 90.00
_cell_angle_beta 121.12
_cell_angle_gamma 90.00
loop_
_atom_site_label
_atom_site_fract_x
_atom_site_fract_y
_atom_site_fract_z
V1 0.0397 0.2454 0.2763
Zn1 0.2838 0.5076 0.4871
Se1 0.1667 0.5126 0.8466
Se2 0.4601 0.7352 0.3878
O1 0.0039 0.0922 0.1920
O2 0.0353 0.2320 0.4849
O3 0.0613 0.0967 0.7828
O4 0.2597 0.7332 0.9293
O5 0.3218 0.5405 0.7520
O6 0.3385 0.2223 0.3792
O7 0.4661 0.5951 0.4201
```

Output
The raw formation energy comes out at -1601 kJ/mol of formula units.



2.
A PBEsol-optimized structure of Ta2NiRh, computed with meta-GGA SCAN.

Cell and atoms, written as CIF:
```
data_Ta2NiRh
_chemical_formula_sum 'Ta2 Ni1 Rh1'
_space_group_name_H-M_alt 'P 4/m m m'
_space_group_IT_number 123
_space_group_name_Hall '-P 4 2'
_cell_length_a 2.8006
_cell_length_b 2.8006
_cell_length_c 7.4665
_cell_angle_alpha 90.00
_cell_angle_beta 90.00
_cell_angle_gamma 90.00
loop_
_atom_site_label
_atom_site_fract_x
_atom_site_fract_y
_atom_site_fract_z
Ta1 0.0000 0.0000 0.2414
Ni1 0.5000 0.5000 0.0000
Rh1 0.5000 0.5000 0.5000
```

Output
The formation energy comes out at -0.3307 eV/atom.



Which final energy belongs to each record? In order, -11.9432; -46.1085 eV per atom.